A plane-wave DFT calculation with PBE-GGA was carried out for a relaxed Li2Er2Mg3 crystal.

a b c (Å): 3.9909 3.5723 12.0128
angles (deg): 90.00 80.44 90.00
Closest atoms and distances in Å follow each position.
Element x y z (fractional)
Li  0.7141  0.5000  0.5717  2 Li 2.62
Mg  0.1603  0.0000  0.6794  4 Li 2.97
Mg  0.0000  0.0000  0.0000  8 Er 3.23, 2 Mg 3.57
Er  0.5762  0.5000  0.8476  8 Mg 3.23-3.34, 1 Li 3.27, 3 Er 3.57-3.61
Li  0.2859  0.5000  0.4283  2 Li 2.62
Mg  0.8397  0.0000  0.3206  4 Li 2.97
Er  0.4238  0.5000  0.1524  8 Mg 3.23-3.34, 1 Li 3.27, 3 Er 3.57-3.61

Values from the calculation:
For the total energy, the calculation gives -2.544 eV/atom. The formation energy is -7 kJ/mol of formula units. As for the symmetry: Cmmm (65). The calculation puts the size of the total moment at 0.00 μB per atom.